Version i
Below is a geometry-optimized CoHgI2O structure, with properties calculated at the PBE+U level.

POSCAR file:
```
CoHgI2O
1.0
6.006 0.000 0.000
0.000 6.006 0.000
0.000 0.000 3.570
I Co Hg O
2 1 1 1
Direct
0.000 0.500 0.000
0.500 0.000 0.000
0.000 0.000 0.000
0.500 0.500 0.500
0.000 0.000 0.500
```

Results
Spin magnetization (μB/atom): 0.720
DOS at the Fermi energy (states/eV/cell): 3.39
Crystal system: tetragonal

---

Version ii
Below is a geometry-optimized CoHgI2O structure, with properties calculated at the PBE+U level.

POSCAR file:
```
CoHgI2O
1.0
5.983 0.000 0.000
0.000 5.983 0.000
0.000 0.000 4.067
I Co Hg O
2 1 1 1
Direct
0.000 0.500 0.000
0.500 0.000 0.000
0.500 0.500 0.500
0.000 0.000 0.000
0.000 0.000 0.500
```

Results
Spin magnetization (μB/atom): 0.560
DOS at the Fermi energy (states/eV/cell): 7.55
Crystal system: tetragonal

---

It turns out version i is the most stable, with the second structure 72.4 kJ/mol of atoms higher.